SrInMoF6: relaxed, PBE with a Hubbard U.

electronic total energy: -47.99 eV/f.u.
space-group type: P-31c

Unit cell a=6.3009 b=6.3009 c=10.3051 alpha=90.00 beta=90.00 gamma=120.00
With the nearest neighbours (Å) after each atom.
Element x y z (fractional)
Sr 0.3333 0.6667 0.2500  6 F 2.46
Sr 0.6667 0.3333 0.7500  6 F 2.46
In 0.0000 0.0000 0.0000  6 F 2.76
In 0.0000 0.0000 0.5000  6 F 2.76
Mo 0.3333 0.6667 0.7500  6 F 2.11
Mo 0.6667 0.3333 0.2500  6 F 2.11
F 0.0401 0.3896 0.6424  1 Mo 2.11
F 0.0401 0.6506 0.8576  1 Mo 2.11
F 0.3494 0.3896 0.8576  1 Mo 2.11
F 0.3494 0.9599 0.6424  1 Mo 2.11
F 0.3896 0.0401 0.1424  1 Mo 2.11
F 0.3896 0.3494 0.3576  1 Mo 2.11
F 0.6104 0.6506 0.6424  1 Mo 2.11
F 0.6104 0.9599 0.8576  1 Mo 2.11
F 0.6506 0.0401 0.3576  1 Mo 2.11
F 0.6506 0.6104 0.1424  1 Mo 2.11
F 0.9599 0.3494 0.1424  1 Mo 2.11
F 0.9599 0.6104 0.3576  1 Mo 2.11